CsK3Pb PBE relaxed; DOS(E_F) = 0.776 states/eV/atom; spin magnetization = 0.00 Bohr magnetons per cell; crystal system = cubic; ΔE to the lowest computed polymorph = 38 meV per atom; ΔE_f = -15 meV/atom
1.0
7.028 0.000 0.000
0.000 7.028 0.000
0.000 0.000 7.028
Cs K Pb
1 3 1
direct
0.000 0.000 0.000 Cs
0.000 0.500 0.500 K
0.500 0.000 0.500 K
0.500 0.500 0.000 K
0.500 0.500 0.500 Pb

=====

NaTiNbP2 PBE relaxed; DOS(E_F) = 1.165 states/eV/atom; spin magnetization = 0.56 Bohr magnetons per cell; crystal system = tetragonal; ΔE_f = 1579 meV/atom
1.0
4.671 0.000 0.000
0.000 4.671 0.000
0.000 0.000 4.651
Na Ti Nb P
1 1 1 2
direct
0.000 0.000 0.000 Na
0.500 0.500 0.500 Ti
0.000 0.000 0.500 Nb
0.000 0.500 0.000 P
0.500 0.000 0.000 P

=====

CaDyHgBi PBE relaxed; DOS(E_F) = 1.185 states/eV/atom; spin magnetization = 0.00 Bohr magnetons per cell; crystal system = cubic; ΔE_f = -533 meV/atom
1.0
0.000 3.844 3.844
3.844 0.000 3.844
3.844 3.844 0.000
Ca Dy Hg Bi
1 1 1 1
direct
0.000 0.000 0.000 Ca
0.500 0.500 0.500 Dy
0.250 0.250 0.250 Hg
0.750 0.750 0.750 Bi

=====

ZnCuAg PBE relaxed; DOS(E_F) = 0.332 states/eV/atom; spin magnetization = 0.00 Bohr magnetons per cell; crystal system = cubic; ΔE to the lowest computed polymorph = 247 meV per atom; ΔE_f = 205 meV/atom
1.0
0.000 2.975 2.975
2.975 0.000 2.975
2.975 2.975 0.000
Zn Cu Ag
1 1 1
direct
0.000 0.000 0.000 Zn
0.750 0.750 0.750 Cu
0.500 0.500 0.500 Ag